VASP calculation (PBE) on Zr2IrAu after structural relaxation.

```
4
Lattice="5.0835 -1.6690 -3.0292 -1.4495 5.1504 3.0292 -3.5392 0.0569 5.0274" Properties=species:S:1:pos:R:3 pbc="T T T"
Zr -1.1765 1.2281 1.9000
Zr -3.8122 3.9793 6.1566
Ir 0.0000 0.0000 0.0000
Au -2.4943 2.6037 4.0283
```

## Properties
- Total energy: -6.978 eV/atom
- Calculated formation energy: 331 meV per atom